[1]
Cs2CoOsBr6: optimized geometry, PBE.

Cell: 7.4649 7.4649 7.4665 Å, 60.01 60.01 90.00°
Fractional coordinates of all 10 atoms:
1 Cs 0.2500 0.7500 0.5000
2 Cs 0.7500 0.2500 0.5000
3 Br 0.7557 0.7557 0.0000
4 Br 0.2441 0.2441 0.5117
5 Br 0.2443 0.2443 0.0000
6 Br 0.7559 0.7559 0.4883
7 Br 0.7557 0.2443 0.0000
8 Br 0.2443 0.7557 0.0000
9 Os 0.0000 0.0000 0.0000
10 Co 0.5000 0.5000 0.0000

Results
D(E_F) = 1.467 states/eV per atom
formation energy (no corrections) = -0.575 eV/atom
total energy = -35.83 eV/cell

=====

[2]
Ba2MnCdN: optimized geometry, PBE.

Cell: 6.0182 6.0182 3.7752 Å, 90.00 90.00 90.00°
Fractional coordinates of all 5 atoms:
1 Cd 0.5000 0.5000 0.5000
2 N 0.0000 0.0000 0.0000
3 Mn 0.0000 0.0000 0.5000
4 Ba 0.0000 0.5000 0.0000
5 Ba 0.5000 0.0000 0.0000

Results
D(E_F) = 0.608 states/eV per atom
formation energy (no corrections) = -0.283 eV/atom
total energy = -23.67 eV/cell

=====

[3]
CaRe2Mo: optimized geometry, PBE.

Cell: 3.0842 4.6599 4.6789 Å, 90.00 90.00 90.00°
Fractional coordinates of all 4 atoms:
1 Re 0.0000 0.0000 0.0000
2 Re 0.5000 0.5000 0.0000
3 Mo 0.0000 0.5000 0.5000
4 Ca 0.5000 0.0000 0.5000

Results
formation energy from the elements = 762 meV per atom
D(E_F) = 0.945 states/eV per atom
total energy = -34.68 eV/cell

=====

Question: Look up the D(E_F) of the second one.
Answer: 0.608 states/eV per atom

=====

Question: Look up the total energy of the first one.
Answer: -35.83 eV/cell

=====

Question: total energy of number 2 (Ba2MnCdN)?
Answer: -23.67 eV/cell

=====

Question: total energy of number 3 (CaRe2Mo)?
Answer: -34.68 eV/cell